No. 1
Entry from Alexandria: an optimized crystal structure of NdZrTl2Se4 (PBE).

Computed properties:
Space group   P2/m (10)
Energy relative to the elements, uncorrected   -1.139 eV per atom

```
NdZrTl2Se4
1.0
-1.915 -1.431 3.257
-2.520 -5.420 -3.862
7.193 -2.644 3.068
Nd Zr Tl Se
1 1 2 4
Direct
0.000 0.000 0.000
0.500 0.500 0.000
0.500 0.000 0.500
0.000 0.500 0.500
0.500 0.256 0.211
0.500 0.744 0.789
0.000 0.289 0.799
0.000 0.711 0.201
```

---

No. 2
Entry from Alexandria: an optimized crystal structure of Nd3ZrTl3Se8 (PBE).

Computed properties:
Space group   R-3m (166)
Energy relative to the elements, uncorrected   -1.361 eV per atom

```
Nd3ZrTl3Se8
1.0
8.440 0.000 0.000
-4.220 7.307 -0.030
0.000 -4.841 7.855
Nd Zr Tl Se
3 1 3 8
Direct
0.500 0.000 0.500
0.500 0.500 0.500
0.000 0.500 0.500
0.000 0.000 0.500
0.000 0.000 0.000
0.000 0.500 0.000
0.500 0.500 0.000
0.262 0.525 0.287
0.738 0.475 0.713
0.778 0.556 0.299
0.222 0.444 0.701
0.778 0.021 0.299
0.222 0.979 0.701
0.243 0.021 0.299
0.757 0.979 0.701
```

---

| no. | electronic total energy (eV per atom) |
| --- | --- |
| 1 | -5.137 |
| 2 | -5.216 |